A relaxed structure of VO2. Source: Alexandria, functional GGA+U.

mass density	3574	kg/m³
VASP energy	-7.650	eV/atom
total moment	1.00	μB/f.u.
space group	C2/m

Lattice parameters (Å, degrees): 2.942 2.942 5.217 75.87 75.87 63.01
Last column: magnetic moment on the atom in μB.
Sites, in units of the cell vectors:
1 O 0.732 0.732 0.808  -0.05
2 O 0.268 0.268 0.192  -0.05
3 V 0.000 0.000 0.000  1.06